# 1
Compound: CaZr3Hg
Source: Alexandria
Functional: PBEsol
Structure: relaxed

Output
**Formation enthalpy at 0 K**: 0.7946 eV per atom
**ΔE to the lowest computed polymorph**: 0.000 eV per atom

Geometry as extended XYZ:
```
5
Lattice="5.300 0.000 0.000 0.000 5.300 0.000 0.000 0.000 5.300" Properties=species:S:1:pos:R:3 pbc="T T T"
Ca 0.000 0.000 0.000
Zr 0.000 2.650 2.650
Zr 2.650 0.000 2.650
Zr 2.650 2.650 0.000
Hg 2.650 2.650 2.650
```

***

# 2
Compound: Al2ReNiW
Source: Alexandria
Functional: PBEsol
Structure: relaxed

Output
**Formation enthalpy at 0 K**: 1.4248 eV per atom

Geometry as extended XYZ:
```
5
Lattice="4.643 0.000 0.000 0.000 4.643 0.000 0.000 0.000 4.686" Properties=species:S:1:pos:R:3 pbc="T T T"
Al 0.000 2.322 0.000
Al 2.322 0.000 0.000
Re 0.000 0.000 0.000
Ni 2.322 2.322 2.343
W 0.000 0.000 2.343
```

***

# 3
Compound: SrTe2Se
Source: Alexandria
Functional: PBEsol
Structure: relaxed

Geometry as extended XYZ:
```
4
Lattice="0.000 4.490 4.528 3.105 0.000 4.528 3.105 4.490 0.000" Properties=species:S:1:pos:R:3 pbc="T T T"
Sr 0.000 0.000 0.000
Te 3.105 2.245 2.264
Te 0.000 2.245 2.264
Se 3.105 4.490 4.528
```

***

# 4
Compound: ZnSb2Ru
Source: Alexandria
Functional: PBEsol
Structure: relaxed

Geometry as extended XYZ:
```
4
Lattice="-2.037 2.037 4.470 2.037 -2.037 4.470 2.037 2.037 -4.470" Properties=species:S:1:pos:R:3 pbc="T T T"
Zn 0.000 0.000 0.000
Sb 2.037 0.000 2.235
Sb 0.000 0.000 4.470
Ru 0.000 2.037 2.235
```

***

# 5
Compound: YTeCl2
Source: Alexandria
Functional: PBEsol
Structure: relaxed

Output
**ΔE to the lowest computed polymorph**: 0.000 eV per atom

Geometry as extended XYZ:
```
4
Lattice="4.127 0.000 0.000 0.000 4.605 0.000 -1.814 0.000 5.344" Properties=species:S:1:pos:R:3 pbc="T T T"
Y 0.000 0.000 0.000
Te 0.405 2.302 4.153
Cl -0.320 2.302 1.368
Cl 1.925 0.000 1.756
```

***

# 6
Compound: LaTaBe2
Source: Alexandria
Functional: PBEsol
Structure: relaxed

Output
**Formation enthalpy at 0 K**: 0.7024 eV per atom
**ΔE to the lowest computed polymorph**: 0.250 eV per atom

Geometry as extended XYZ:
```
4
Lattice="-1.963 1.963 4.376 1.963 -1.963 4.376 1.963 1.963 -4.376" Properties=species:S:1:pos:R:3 pbc="T T T"
La 0.000 0.000 0.000
Ta 0.000 1.963 2.188
Be 1.963 0.000 2.188
Be 0.000 0.000 4.376
```

***

# 7
Compound: SrY3F
Source: Alexandria
Functional: PBEsol
Structure: relaxed

Geometry as extended XYZ:
```
5
Lattice="5.107 0.000 0.000 0.000 5.107 0.000 0.000 0.000 5.107" Properties=species:S:1:pos:R:3 pbc="T T T"
Sr 0.000 0.000 0.000
Y 0.000 2.553 2.553
Y 2.553 0.000 2.553
Y 2.553 2.553 0.000
F 2.553 2.553 2.553
```

***

# 8
Compound: P3Pb5O12
Source: Alexandria
Functional: PBEsol
Structure: relaxed

Geometry as extended XYZ:
```
40
Lattice="9.785 0.000 0.000 -4.892 8.474 0.000 0.000 0.000 7.285" Properties=species:S:1:pos:R:3 pbc="T T T"
P -1.677 3.395 1.821
P -1.114 8.229 1.821
P 2.102 3.150 5.464
P 2.791 5.324 1.821
P 6.006 0.245 5.464
P 6.570 5.079 5.464
Pb -1.155 2.002 5.464
Pb 6.048 6.472 1.821
Pb -2.581 8.473 5.464
Pb 1.156 2.001 1.821
Pb 0.000 5.649 3.657
Pb 0.000 5.649 7.271
Pb 4.892 2.825 0.014
Pb 4.892 2.825 3.628
Pb 7.473 0.001 1.821
Pb 3.736 6.473 5.464
O -0.857 2.953 0.571
O -0.857 2.953 3.071
O -1.764 4.953 1.821
O -1.803 5.708 5.464
O -1.906 7.740 0.571
O -1.906 7.740 3.071
O 0.851 4.058 5.464
O 2.129 2.219 4.214
O 2.129 2.219 6.714
O 1.485 4.470 1.821
O 0.279 7.525 1.821
O 3.940 1.292 1.821
O 0.953 7.182 5.464
O 4.613 0.949 5.464
O 3.408 4.004 5.464
O 2.763 6.255 0.571
O 2.763 6.255 3.071
O 4.042 4.416 1.821
O 6.799 0.734 4.214
O 6.799 0.734 6.714
O 6.696 2.766 1.821
O 6.656 3.521 5.464
O 5.749 5.521 4.214
O 5.749 5.521 6.714
```

***

# 9
Compound: TaAsPS2
Source: Alexandria
Functional: PBEsol
Structure: relaxed

Geometry as extended XYZ:
```
5
Lattice="4.615 0.000 0.000 0.000 4.615 0.000 0.000 0.000 5.004" Properties=species:S:1:pos:R:3 pbc="T T T"
Ta 0.000 0.000 0.000
As 2.307 2.307 2.502
P 0.000 0.000 2.502
S 0.000 2.307 0.000
S 2.307 0.000 0.000
```

***

# 10
Compound: NiSbP2
Source: Alexandria
Functional: PBEsol
Structure: relaxed

Geometry as extended XYZ:
```
4
Lattice="3.173 0.000 0.000 0.000 3.173 0.000 0.000 0.000 6.365" Properties=species:S:1:pos:R:3 pbc="T T T"
Ni 0.000 0.000 0.000
Sb 0.000 0.000 3.182
P 1.587 1.587 1.075
P 1.587 1.587 5.290
```

***

# 11
Compound: TlCr2Si
Source: Alexandria
Functional: PBEsol
Structure: relaxed

Geometry as extended XYZ:
```
4
Lattice="3.356 -1.456 0.000 3.356 1.456 0.000 -1.447 0.000 6.783" Properties=species:S:1:pos:R:3 pbc="T T T"
Tl 0.000 0.000 0.000
Cr 0.681 0.000 4.686
Cr 4.584 0.000 2.097
Si 2.632 0.000 3.391
```

***

# 12
Compound: Tc2PBr
Source: Alexandria
Functional: PBEsol
Structure: relaxed

Output
**ΔE to the lowest computed polymorph**: 0.021 eV per atom

Geometry as extended XYZ:
```
4
Lattice="1.485 0.857 7.613 -1.485 0.857 7.613 0.000 -1.715 7.613" Properties=species:S:1:pos:R:3 pbc="T T T"
Tc 0.000 0.000 5.522
Tc 0.000 0.000 17.318
P 0.000 0.000 11.420
Br 0.000 0.000 0.000
```

***

# 13
Compound: Bi3O2F5
Source: Alexandria
Functional: PBEsol
Structure: relaxed

Output
**ΔE to the lowest computed polymorph**: 0.000 eV per atom

Geometry as extended XYZ:
```
40
Lattice="5.630 0.000 0.000 0.000 17.591 0.000 0.000 0.000 5.855" Properties=species:S:1:pos:R:3 pbc="T T T"
Bi 1.086 1.729 0.209
Bi 1.086 7.066 0.209
Bi 1.375 13.193 5.639
Bi 1.440 4.398 2.712
Bi 1.729 10.525 3.136
Bi 1.729 15.862 3.136
Bi 3.901 1.729 2.719
Bi 3.901 7.066 2.719
Bi 4.190 13.193 3.143
Bi 4.255 4.398 0.215
Bi 4.544 10.525 5.646
Bi 4.544 15.862 5.646
O 0.131 11.791 4.254
O 0.131 14.595 4.254
O 2.684 2.996 1.327
O 2.684 5.800 1.327
O 2.946 11.791 4.528
O 2.946 14.595 4.528
O 5.499 2.996 1.601
O 5.499 5.800 1.601
F 0.479 9.118 4.581
F 0.479 17.268 4.581
F 0.884 11.046 0.935
F 0.884 15.341 0.935
F 0.921 4.398 5.310
F 1.894 13.193 2.382
F 1.931 2.250 3.862
F 1.931 6.545 3.862
F 2.336 0.323 1.654
F 2.336 8.473 1.654
F 3.294 9.118 4.200
F 3.294 17.268 4.200
F 3.699 11.046 1.992
F 3.699 15.341 1.992
F 3.736 4.398 3.472
F 4.709 13.193 0.545
F 4.746 2.250 4.919
F 4.746 6.545 4.919
F 5.151 0.323 1.273
F 5.151 8.473 1.273
```

***

# 14
Compound: InGaP2
Source: Alexandria
Functional: PBEsol
Structure: relaxed

Output
**Formation enthalpy at 0 K**: -0.2846 eV per atom
**ΔE to the lowest computed polymorph**: 0.000 eV per atom

Geometry as extended XYZ:
```
8
Lattice="-2.831 2.831 5.616 2.831 -2.831 5.616 2.831 2.831 -5.616" Properties=species:S:1:pos:R:3 pbc="T T T"
In 0.000 0.000 0.000
In 0.000 2.831 2.808
Ga 2.831 0.000 2.808
Ga 0.000 0.000 5.616
P 1.416 -1.263 4.212
P 1.568 1.416 1.404
P 1.416 4.094 -1.404
P 1.263 1.416 7.021
```

***

# 15
Compound: K2ZrMo
Source: Alexandria
Functional: PBEsol
Structure: relaxed

Output
**Formation enthalpy at 0 K**: 1.3816 eV per atom
**ΔE to the lowest computed polymorph**: 0.594 eV per atom

Geometry as extended XYZ:
```
4
Lattice="2.812 0.000 0.000 0.000 2.812 0.000 0.000 0.000 12.831" Properties=species:S:1:pos:R:3 pbc="T T T"
K 0.000 0.000 2.901
K 0.000 0.000 9.930
Zr 1.406 1.406 6.415
Mo 1.406 1.406 0.000
```

***

# 16
Compound: LaYCl
Source: Alexandria
Functional: PBEsol
Structure: relaxed

Geometry as extended XYZ:
```
3
Lattice="0.000 3.418 3.418 3.418 0.000 3.418 3.418 3.418 0.000" Properties=species:S:1:pos:R:3 pbc="T T T"
La 0.000 0.000 0.000
Y 3.418 3.418 3.418
Cl 1.709 1.709 1.709
```

***

# 17
Compound: SrYSi2
Source: Alexandria
Functional: PBEsol
Structure: relaxed

Output
**ΔE to the lowest computed polymorph**: 0.000 eV per atom

Geometry as extended XYZ:
```
4
Lattice="-1.881 2.241 5.664 1.881 -2.241 5.664 1.881 2.241 -5.664" Properties=species:S:1:pos:R:3 pbc="T T T"
Sr 0.000 0.000 0.000
Y 1.881 0.000 3.011
Si 0.000 0.000 6.718
Si 0.000 2.241 2.647
```

***

# 18
Compound: Y2CdCuSb
Source: Alexandria
Functional: PBEsol
Structure: relaxed

Geometry as extended XYZ:
```
5
Lattice="5.230 0.000 0.000 0.000 5.230 0.000 0.000 0.000 4.745" Properties=species:S:1:pos:R:3 pbc="T T T"
Y 0.000 2.615 0.000
Y 2.615 0.000 0.000
Cd 0.000 0.000 2.373
Cu 2.615 2.615 0.000
Sb 2.615 2.615 2.373
```

***

# 19
Compound: CaScAg2
Source: Alexandria
Functional: PBEsol
Structure: relaxed

Output
**Formation enthalpy at 0 K**: -0.2445 eV per atom

Geometry as extended XYZ:
```
4
Lattice="4.981 0.000 0.000 0.000 4.981 0.000 0.000 0.000 3.403" Properties=species:S:1:pos:R:3 pbc="T T T"
Ca 0.000 0.000 0.000
Sc 2.491 2.491 0.000
Ag 0.000 2.491 1.702
Ag 2.491 0.000 1.702
```

***

# 20
Compound: Mn2ZnAg
Source: Alexandria
Functional: PBEsol
Structure: relaxed

Output
**Formation enthalpy at 0 K**: 0.3652 eV per atom

Geometry as extended XYZ:
```
4
Lattice="4.529 -1.332 0.000 4.529 1.332 0.000 -0.795 0.000 4.502" Properties=species:S:1:pos:R:3 pbc="T T T"
Mn 2.052 0.000 1.043
Mn 6.210 0.000 3.458
Zn 4.529 0.000 0.000
Ag -0.398 0.000 2.251
```

***

Number 1: E -5.1993 eV per atom. Number 2: E -6.8712 eV per atom. Number 3: E -3.9732 eV per atom. Number 4: E -4.8315 eV per atom. Number 5: E -5.0202 eV per atom. Number 6: E -5.7719 eV per atom. Number 7: E -5.6238 eV per atom. Number 8: E -6.8284 eV per atom. Number 9: E -6.1801 eV per atom. Number 10: E -5.4505 eV per atom. Number 11: E -6.6953 eV per atom. Number 12: E -7.3921 eV per atom. Number 13: E -5.4195 eV per atom. Number 14: E -4.7610 eV per atom. Number 15: E -4.3995 eV per atom. Number 16: E -5.2712 eV per atom. Number 17: E -5.5302 eV per atom. Number 18: E -4.8171 eV per atom. Number 19: E -4.0846 eV per atom. Number 20: E -5.7386 eV per atom.